1.
Here is a relaxed Er2SiHg crystal from Alexandria via LeMat-Bulk. Energies are from GGA-PBE.

Cell: 3.6375 3.6375 7.0003 Å, 90.00 90.00 90.00°
Last column: nearest neighbours and their distance in Å.
Atoms (fractional coordinates):
Er: 0.0000 0.0000 0.2315  4 Si 3.04, 4 Hg 3.19, 1 Er 3.24
Er: 0.0000 0.0000 0.7685  4 Si 3.04, 4 Hg 3.19, 1 Er 3.24
Si: 0.5000 0.5000 0.0000  8 Er 3.04
Hg: 0.5000 0.5000 0.5000  8 Er 3.19, 2 Si 3.50

Results
**Space group**: P4/mmm (123)
**Uncorrected formation energy**: -185 kJ/mol of formula units
**E_tot**: -4.191 eV per atom

2.
Here is a relaxed ErSiHg crystal from Alexandria via LeMat-Bulk. Energies are from GGA-PBE.

Cell: 8.3989 8.3989 3.8384 Å, 90.00 90.00 151.37°
Last column: nearest neighbours and their distance in Å.
Atoms (fractional coordinates):
Er: 0.0933 0.9067 0.7500  6 Si 2.94-3.05, 1 Hg 3.16
Er: 0.9067 0.0933 0.2500  6 Si 2.94-3.05, 1 Hg 3.16
Si: 0.4558 0.5442 0.7500  2 Si 2.40
Si: 0.5442 0.4558 0.2500  2 Si 2.40
Hg: 0.2875 0.7125 0.7500  1 Si 2.74
Hg: 0.7125 0.2875 0.2500  1 Si 2.74

Results
**Space group**: Cmcm (63)
**Uncorrected formation energy**: -146 kJ/mol of formula units
**E_tot**: -3.933 eV per atom
**Polymorph energy (0 for the lowest one)**: 0.000 eV/atom

3.
Here is a relaxed Er8Si3HgTe4 crystal from Alexandria via LeMat-Bulk. Energies are from GGA-PBE.

Cell: 8.5677 8.5677 8.5677 Å, 58.77 58.77 58.77°
Last column: nearest neighbours and their distance in Å.
Atoms (fractional coordinates):
Er: 0.2282 0.7489 0.7489  2 Si 2.86, 1 Hg 2.99, 3 Te 3.03-3.14
Er: 0.2382 0.2382 0.2382  3 Si 2.86, 3 Te 3.15
Er: 0.2511 0.2511 0.7718  2 Si 2.86, 1 Hg 2.99, 3 Te 3.03-3.14
Er: 0.2511 0.7718 0.2511  2 Si 2.86, 1 Hg 2.99, 3 Te 3.03-3.14
Er: 0.7489 0.2282 0.7489  2 Si 2.86, 1 Hg 2.99, 3 Te 3.03-3.14
Er: 0.7489 0.7489 0.2282  2 Si 2.86, 1 Hg 2.99, 3 Te 3.03-3.14
Er: 0.7618 0.7618 0.7618  3 Si 2.86, 3 Te 3.15
Er: 0.7718 0.2511 0.2511  2 Si 2.86, 1 Hg 2.99, 3 Te 3.03-3.14
Si: 0.0000 0.0000 0.5000  6 Er 2.86
Si: 0.0000 0.5000 0.0000  6 Er 2.86
Si: 0.5000 0.0000 0.0000  6 Er 2.86
Hg: 0.5000 0.5000 0.5000  6 Er 2.99
Te: 0.0000 0.0000 0.0000  6 Er 3.03
Te: 0.0000 0.5000 0.5000  6 Er 3.14-3.15
Te: 0.5000 0.0000 0.5000  6 Er 3.14-3.15
Te: 0.5000 0.5000 0.0000  6 Er 3.14-3.15

Results
**Space group**: R-3m (166)
**Uncorrected formation energy**: -1524 kJ/mol of formula units
**E_tot**: -5.090 eV per atom

4.
Here is a relaxed SmEr3Hg2 crystal from Alexandria via LeMat-Bulk. Energies are from GGA-PBE.

Cell: 8.8530 8.8530 8.8530 Å, 133.19 70.90 130.00°
Last column: nearest neighbours and their distance in Å.
Atoms (fractional coordinates):
Sm: 0.0000 0.0000 0.0000  2 Hg 2.97
Sm: 0.5000 0.5000 0.0000  2 Hg 2.97
Er: 0.0227 0.2500 0.7727  4 Hg 2.98-3.11
Er: 0.2500 0.7500 0.5000  4 Hg 3.09
Er: 0.4773 0.2500 0.2273  4 Hg 2.98-3.11
Er: 0.5227 0.7500 0.7727  4 Hg 2.98-3.11
Er: 0.7500 0.2500 0.5000  4 Hg 3.09
Er: 0.9773 0.7500 0.2273  4 Hg 2.98-3.11
Hg: 0.1418 0.6932 0.8350  1 Sm 2.97, 6 Er 2.98-3.11
Hg: 0.3582 0.1932 0.5514  1 Sm 2.97, 6 Er 2.98-3.11
Hg: 0.6418 0.8068 0.4486  1 Sm 2.97, 6 Er 2.98-3.11
Hg: 0.8582 0.3068 0.1650  1 Sm 2.97, 6 Er 2.98-3.11

Results
**Space group**: Ibam (72)
**Energy of formation**: -0.0973 eV/atom
**E_tot**: -3.266 eV per atom
**Polymorph energy (0 for the lowest one)**: 0.258 eV/atom

5.
Here is a relaxed SmEr8Hg2 crystal from Alexandria via LeMat-Bulk. Energies are from GGA-PBE.

Cell: 8.5682 8.5682 5.4864 Å, 100.23 100.23 118.32°
Last column: nearest neighbours and their distance in Å.
Atoms (fractional coordinates):
Sm: 0.0000 0.0000 0.0000  12 Er 3.30-3.67
Er: 0.0914 0.3214 0.6083  2 Hg 3.06-3.30, 2 Er 3.38-3.40
Er: 0.2262 0.7738 0.0000  2 Hg 2.99, 1 Sm 3.33
Er: 0.3214 0.0914 0.6083  2 Hg 3.06-3.30, 2 Er 3.38-3.40
Er: 0.3997 0.3997 0.2017  2 Er 3.13-3.27, 2 Hg 3.25, 1 Sm 3.30
Er: 0.6003 0.6003 0.7983  2 Er 3.13-3.27, 2 Hg 3.25, 1 Sm 3.30
Er: 0.6786 0.9086 0.3917  2 Hg 3.06-3.30, 2 Er 3.38-3.40
Er: 0.7738 0.2262 0.0000  2 Hg 2.99, 1 Sm 3.33
Er: 0.9086 0.6786 0.3917  2 Hg 3.06-3.30, 2 Er 3.38-3.40
Hg: 0.3069 0.6931 0.5000  8 Er 2.99-3.30
Hg: 0.6931 0.3069 0.5000  8 Er 2.99-3.30

Results
**Space group**: C2/m (12)
**Energy of formation**: -0.0442 eV/atom
**E_tot**: -3.847 eV per atom

6.
Here is a relaxed Sm2ErHg3 crystal from Alexandria via LeMat-Bulk. Energies are from GGA-PBE.

Cell: 3.7484 3.7484 11.3678 Å, 90.00 90.00 90.00°
Last column: nearest neighbours and their distance in Å.
Atoms (fractional coordinates):
Sm: 0.0000 0.0000 0.1698  8 Hg 3.28-3.31
Sm: 0.0000 0.0000 0.8302  8 Hg 3.28-3.31
Er: 0.0000 0.0000 0.5000  8 Hg 3.19
Hg: 0.5000 0.5000 0.0000  8 Sm 3.28
Hg: 0.5000 0.5000 0.3441  4 Er 3.19, 4 Sm 3.31, 1 Hg 3.55
Hg: 0.5000 0.5000 0.6559  4 Er 3.19, 4 Sm 3.31, 1 Hg 3.55

Results
**Space group**: P4/mmm (123)
**Energy of formation**: -0.4729 eV/atom
**E_tot**: -2.957 eV per atom
**Polymorph energy (0 for the lowest one)**: 0.000 eV/atom

7.
Here is a relaxed SmErHg4 crystal from Alexandria via LeMat-Bulk. Energies are from GGA-PBE.

Cell: 5.7406 5.7406 7.7855 Å, 109.33 109.33 39.35°
Last column: nearest neighbours and their distance in Å.
Atoms (fractional coordinates):
Sm: 0.0000 0.0000 0.0000  10 Hg 3.25-3.37
Er: 0.0000 0.0000 0.5000  10 Hg 3.18-3.36
Hg: 0.3321 0.3321 0.6590  5 Hg 3.15-3.39, 3 Er 3.18-3.36, 2 Sm 3.27
Hg: 0.3327 0.3327 0.1740  2 Er 3.20, 5 Hg 3.20-3.39, 3 Sm 3.25-3.37
Hg: 0.6673 0.6673 0.8260  2 Er 3.20, 5 Hg 3.20-3.39, 3 Sm 3.25-3.37
Hg: 0.6679 0.6679 0.3410  5 Hg 3.15-3.39, 3 Er 3.18-3.36, 2 Sm 3.27

Results
**Space group**: C2/m (12)
**Energy of formation**: -0.3396 eV/atom
**E_tot**: -2.088 eV per atom
**Polymorph energy (0 for the lowest one)**: 0.054 eV/atom

8.
Here is a relaxed SmErHg crystal from Alexandria via LeMat-Bulk. Energies are from GGA-PBE.

Cell: 5.1365 5.1365 3.7973 Å, 90.00 90.00 120.00°
Last column: nearest neighbours and their distance in Å.
Atoms (fractional coordinates):
Sm: 0.0000 0.0000 0.0000  3 Hg 3.29, 6 Er 3.46-3.58
Er: 0.3333 0.6667 0.5298  3 Hg 3.02
Hg: 0.6667 0.3333 0.3778  3 Er 3.02, 3 Sm 3.29

Results
**Space group**: P3m1 (156)
**Energy of formation**: -0.1857 eV/atom
**E_tot**: -3.380 eV per atom
**Polymorph energy (0 for the lowest one)**: 0.164 eV/atom

9.
Here is a relaxed Sm6ErHg2 crystal from Alexandria via LeMat-Bulk. Energies are from GGA-PBE.

Cell: 6.6767 6.6767 12.0805 Å, 108.01 108.01 32.68°
Last column: nearest neighbours and their distance in Å.
Atoms (fractional coordinates):
Sm: 0.0208 0.0208 0.3372  2 Hg 3.22, 3 Sm 3.52-3.58
Sm: 0.3098 0.3098 0.4102  2 Hg 3.39, 10 Sm 3.48-3.76
Sm: 0.3134 0.3134 0.1236  2 Hg 3.25, 5 Sm 3.46-3.58
Sm: 0.6866 0.6866 0.8764  2 Hg 3.25, 5 Sm 3.46-3.58
Sm: 0.6902 0.6902 0.5898  2 Hg 3.39, 10 Sm 3.48-3.76
Sm: 0.9792 0.9792 0.6628  2 Hg 3.22, 3 Sm 3.52-3.58
Er: 0.0000 0.0000 0.0000  4 Hg 3.08
Hg: 0.3625 0.3625 0.8053  2 Er 3.08, 6 Sm 3.22-3.39
Hg: 0.6375 0.6375 0.1947  2 Er 3.08, 6 Sm 3.22-3.39

Results
**Space group**: C2/m (12)
**Energy of formation**: -0.2096 eV/atom
**E_tot**: -3.930 eV per atom

10.
Here is a relaxed SmErHg4 crystal from Alexandria via LeMat-Bulk. Energies are from GGA-PBE.

Cell: 5.2185 7.5940 7.5940 Å, 30.12 90.00 90.00°
Last column: nearest neighbours and their distance in Å.
Atoms (fractional coordinates):
Sm: 0.0000 0.0000 0.0000  10 Hg 3.16-3.33
Er: 0.5000 0.7913 0.7913  10 Hg 3.11-3.32
Hg: 0.0000 0.3290 0.3290  4 Hg 3.08-3.22, 2 Sm 3.19, 4 Er 3.32
Hg: 0.0000 0.6680 0.6680  6 Hg 3.08-3.32, 2 Sm 3.16, 2 Er 3.17
Hg: 0.5000 0.1276 0.1276  2 Er 3.11, 6 Hg 3.18-3.32, 2 Sm 3.21
Hg: 0.5000 0.4575 0.4575  2 Er 3.14, 4 Hg 3.18-3.22, 4 Sm 3.33

Results
**Space group**: Amm2 (38)
**Energy of formation**: -0.3931 eV/atom
**E_tot**: -2.141 eV per atom
**Polymorph energy (0 for the lowest one)**: 0.000 eV/atom